NdDy4Tm4 (GGA-PBE, optimized geometry); E above lowest polymorph = 0.014 eV per atom; theoretical density = 8.63 g/cm³; space group = P-1, No. 2; Fermi-level density of states = 32.18 states/eV per cell
1.0
7.430 -3.927 1.777
-3.824 8.671 1.340
2.551 2.677 13.429
Tm Dy Nd
8 8 2
Cartesian
3.920 5.202 7.756
5.031 1.589 10.746
5.482 6.274 15.343
1.126 5.832 5.801
0.675 1.147 1.204
0.754 5.184 9.210
2.237 2.219 8.791
5.403 2.237 7.336
7.838 0.571 14.477
2.455 7.190 13.426
-0.508 3.792 3.403
6.665 3.629 13.143
-0.412 8.223 7.912
-1.681 6.850 2.069
3.702 0.231 3.121
6.569 -0.802 8.634
2.653 2.891 5.355
3.504 4.530 11.191

Nd3Dy6Tm2 (GGA-PBE, optimized geometry); theoretical density = 8.20 g/cm³; space group = R-3m, No. 166; Fermi-level density of states = 14.12 states/eV per cell
1.0
3.568 0.000 0.219
1.777 3.094 0.219
-0.174 -0.101 32.025
Dy Nd Tm
6 3 2
Cartesian
0.892 0.516 14.644
1.788 1.035 29.235
3.383 1.958 3.227
4.803 2.780 9.266
0.368 0.213 23.196
4.279 2.477 17.818
1.422 0.823 6.014
0.000 0.000 0.000
3.749 2.170 26.449
2.848 1.648 11.951
2.323 1.344 20.511

Nd2DyTm2 (GGA-PBE, optimized geometry); E above lowest polymorph = 0.102 eV per atom; theoretical density = 7.99 g/cm³; space group = Imma, No. 74; Fermi-level density of states = 13.36 states/eV per cell
1.0
-1.956 4.551 2.783
-3.150 -0.237 -1.827
-3.288 -11.571 10.810
Nd Dy Tm
4 2 4
Cartesian
-2.406 -5.087 6.628
-5.988 -2.169 5.138
-3.574 -6.970 8.886
-4.820 -0.286 2.880
-5.647 -4.039 8.436
-2.747 -3.217 3.330
-6.161 -8.719 9.927
-2.966 -1.151 -0.203
-2.233 1.462 1.839
-5.428 -6.105 11.969

Nd5Dy2Tm5 (GGA-PBE, optimized geometry); E above lowest polymorph = 0.000 eV per atom; theoretical density = 8.09 g/cm³; space group = C2/m, No. 12; Fermi-level density of states = 16.91 states/eV per cell
1.0
-1.992 -3.584 2.940
4.708 -9.009 -3.463
3.445 0.445 7.207
Tm Nd Dy
5 5 2
Cartesian
5.347 -8.725 5.977
0.964 -2.096 6.759
4.076 -4.282 1.872
0.813 -3.423 0.707
5.196 -10.052 -0.074
1.777 -5.497 7.493
0.000 0.000 0.000
4.883 -7.681 2.605
1.277 -4.467 4.079
4.384 -6.651 -0.808
4.568 -5.335 5.252
1.592 -6.813 1.432

Nd5DyTm6 (GGA-PBE, optimized geometry); theoretical density = 8.15 g/cm³; space group = Immm, No. 71; Fermi-level density of states = 16.24 states/eV per cell
1.0
-2.826 1.246 -4.040
-6.711 -6.926 2.555
1.044 7.996 4.938
Tm Nd Dy
6 5 1
Cartesian
-6.454 -4.580 -0.101
-2.216 5.800 0.140
-6.277 -3.484 3.313
-5.581 2.328 1.421
-2.912 -0.012 2.033
-3.083 -1.100 -1.384
-6.011 -1.120 0.658
-5.851 -0.008 4.089
-3.356 -3.463 1.277
-2.482 3.436 2.796
-2.642 2.324 -0.635
0.000 0.000 0.000

Nd5DyTm3 (GGA-PBE, optimized geometry); E above lowest polymorph = 0.000 eV per atom; theoretical density = 7.63 g/cm³; space group = C2/c, No. 15; Fermi-level density of states = 23.71 states/eV per cell
1.0
-1.565 6.443 1.224
-5.732 -2.971 -10.254
-1.279 -2.453 11.276
Nd Tm Dy
10 6 2
Cartesian
-5.487 -0.586 -3.765
-5.844 2.680 -0.015
-2.463 2.888 0.384
-1.443 0.150 8.835
-6.232 0.415 5.426
-3.089 1.604 6.012
-2.732 -1.662 2.261
-2.344 0.603 -3.180
-1.401 3.839 3.665
-6.113 -1.870 1.862
-0.640 -1.227 5.638
0.000 0.000 0.000
-4.059 -0.246 -0.440
-4.517 1.264 2.686
-4.408 -2.672 4.971
-4.168 3.690 -2.725
-0.700 0.954 3.117
-2.144 3.036 9.384

Nd8DyTm3 (GGA-PBE, optimized geometry); theoretical density = 7.50 g/cm³; space group = C2/m, No. 12; Fermi-level density of states = 22.02 states/eV per cell
1.0
11.985 0.000 0.000
-5.992 8.667 -7.212
0.000 -5.324 8.314
Tm Nd Dy
3 8 1
Cartesian
-2.996 4.333 -3.606
2.996 4.333 -3.606
5.992 0.000 0.000
0.000 0.332 3.508
8.951 -3.984 7.080
2.959 7.327 -5.979
0.000 2.970 -2.358
3.034 -3.984 7.080
5.992 3.011 -2.406
-2.959 7.327 -5.979
5.992 0.373 3.460
0.000 0.000 0.000

NdDyTm5 (GGA-PBE, optimized geometry); E above lowest polymorph = 0.816 eV per atom; theoretical density = 6.73 g/cm³; space group = Imm2, No. 44; Fermi-level density of states = 9.79 states/eV per cell
1.0
6.127 0.000 0.000
0.000 7.968 0.000
-3.064 -3.984 5.819
Tm Dy Nd
5 1 1
Cartesian
1.041 3.984 0.000
-0.446 0.000 2.994
2.618 3.984 2.826
2.666 6.535 0.000
2.666 1.432 0.000
5.757 0.000 0.000
4.269 3.984 0.000

Nd3Dy4Tm4 (GGA-PBE, optimized geometry); E above lowest polymorph = 0.137 eV per atom; theoretical density = 8.10 g/cm³; space group = Amm2, No. 38; Fermi-level density of states = 16.37 states/eV per cell
1.0
-5.471 -0.819 -1.281
4.326 -1.982 -4.624
0.388 -9.586 4.472
Nd Tm Dy
3 4 4
Cartesian
0.809 -1.217 -2.678
1.575 -8.758 -1.130
1.413 -4.738 -3.006
-2.175 -5.753 0.383
-2.555 -0.681 -1.239
0.601 -7.234 2.057
0.444 -3.340 0.240
-1.854 -3.666 -2.323
-1.282 -2.596 -5.453
-1.305 -7.062 -2.497
-1.633 -9.139 0.230

Nd3DyTm4 (GGA-PBE, optimized geometry); E above lowest polymorph = 0.118 eV per atom; theoretical density = 8.07 g/cm³; space group = Immm, No. 71; Fermi-level density of states = 12.47 states/eV per cell
1.0
3.355 0.000 0.869
1.179 8.484 2.356
-0.491 -1.048 8.808
Nd Tm Dy
3 4 1
Cartesian
1.339 5.622 8.652
0.344 3.718 5.582
2.705 1.814 3.381
1.236 2.292 9.052
2.087 7.153 5.762
1.956 0.283 6.271
2.808 5.144 2.981
1.678 0.000 0.435

NdDy6Tm12 (GGA-PBE, optimized geometry); E above lowest polymorph = 0.000 eV per atom; theoretical density = 8.68 g/cm³; space group = R-3, No. 148; Fermi-level density of states = 29.36 states/eV per cell
1.0
-1.374 0.100 -8.332
-5.013 -6.778 0.503
-6.855 4.842 0.946
Tm Dy Nd
12 6 1
Cartesian
-2.010 1.043 -2.725
-8.207 -2.535 -2.737
-9.727 -2.066 -7.270
-8.223 0.824 -3.602
-11.130 0.496 -5.254
-5.018 -2.660 -3.282
-3.514 0.230 0.386
-5.034 0.699 -4.147
-6.450 -0.327 -1.150
-6.792 -1.509 -5.733
-11.231 -2.879 -4.159
-2.111 -2.332 -1.630
-5.287 -3.381 -0.156
-7.954 1.545 -6.727
-7.771 -4.562 -5.451
-2.823 -1.228 -5.471
-5.471 2.726 -1.433
-10.419 -0.608 -1.412
0.000 0.000 0.000

Nd2Dy3Tm (GGA-PBE, optimized geometry); E above lowest polymorph = 0.000 eV per atom; theoretical density = 8.03 g/cm³; space group = C2/m, No. 12; Fermi-level density of states = 18.60 states/eV per cell
1.0
5.631 0.000 0.000
-2.815 8.488 -1.246
0.000 -4.495 8.842
Dy Tm Nd
6 2 4
Cartesian
2.815 4.998 4.320
0.000 -1.005 3.276
0.000 4.993 2.094
2.815 -0.999 5.501
2.815 1.695 3.250
0.000 2.299 4.345
0.000 1.632 0.819
2.815 2.362 6.777
0.000 0.031 7.171
2.815 -3.759 7.549
2.815 3.962 0.425
0.000 7.752 0.046

Nd6DyTm5 (GGA-PBE, optimized geometry); theoretical density = 7.94 g/cm³; space group = Immm, No. 71; Fermi-level density of states = 16.01 states/eV per cell
1.0
0.347 -3.984 -3.191
9.902 1.296 -0.550
-4.178 -3.354 7.840
Nd Tm Dy
6 5 1
Cartesian
7.738 -0.595 1.577
7.592 -1.021 -2.008
2.795 -1.242 1.852
2.657 -1.667 -1.733
-1.667 -5.447 2.521
3.276 -4.801 2.246
5.440 -2.911 0.120
5.581 -2.482 3.701
0.489 -3.560 0.398
0.631 -3.131 3.978
4.951 0.648 -0.275
0.000 0.000 0.000

Nd5Dy2Tm4 (GGA-PBE, optimized geometry); E above lowest polymorph = 0.000 eV per atom; theoretical density = 7.70 g/cm³; space group = C2/m, No. 12; Fermi-level density of states = 15.52 states/eV per cell
1.0
3.515 0.000 -0.664
-0.352 11.631 -1.863
-0.091 -0.375 9.158
Tm Nd Dy
4 5 2
Cartesian
2.119 8.728 1.581
3.263 2.815 7.644
-0.191 8.441 -1.013
0.954 2.528 5.050
2.521 11.356 3.714
2.752 5.427 4.935
0.551 -0.100 2.917
0.320 5.829 1.696
1.757 0.000 -0.332
0.911 8.405 4.826
2.161 2.851 1.805

Nd4Dy3Tm4 (GGA-PBE, optimized geometry); E above lowest polymorph = 0.131 eV per atom; theoretical density = 7.98 g/cm³; space group = Amm2, No. 38; Fermi-level density of states = 16.36 states/eV per cell
1.0
5.668 0.000 0.000
-2.834 6.004 0.000
0.000 0.000 10.635
Tm Nd Dy
4 4 3
Cartesian
2.834 0.644 0.000
0.000 1.249 3.228
0.000 1.249 7.407
2.834 1.301 5.317
2.834 4.578 5.317
2.834 3.062 2.220
2.834 5.528 0.000
2.834 3.062 8.415
0.000 4.941 7.586
0.000 3.048 0.000
0.000 4.941 3.049

Nd5Dy2Tm4 (GGA-PBE, optimized geometry); E above lowest polymorph = 0.055 eV per atom; theoretical density = 7.60 g/cm³; space group = Immm, No. 71; Fermi-level density of states = 17.62 states/eV per cell
1.0
3.520 0.000 0.000
0.000 9.091 0.000
-1.760 -4.545 11.759
Nd Tm Dy
5 4 2
Cartesian
0.000 1.825 3.415
1.760 0.000 0.000
0.000 7.266 3.415
1.760 -2.720 8.344
1.760 2.720 8.344
0.000 0.000 9.494
0.000 2.874 0.000
0.000 6.217 0.000
1.760 4.545 2.265
0.000 0.000 6.336
1.760 4.545 5.422

NdDy5Tm7 (GGA-PBE, optimized geometry); theoretical density = 8.48 g/cm³; space group = Imm2, No. 44; Fermi-level density of states = 22.98 states/eV per cell
1.0
-2.882 -5.421 2.582
-2.425 -5.664 -6.008
5.594 -6.379 1.439
Tm Dy Nd
7 5 1
Cartesian
-0.028 -4.257 -0.379
-0.328 -8.216 -0.436
2.689 -8.855 1.590
1.516 -10.235 -2.616
2.817 -6.012 -0.889
0.114 -5.771 -3.399
-2.610 -8.383 -3.331
-0.313 -8.383 3.219
0.096 -12.969 -1.349
-2.636 -5.539 -1.380
1.025 -5.865 2.020
-3.975 -8.057 -0.181
-2.696 -5.625 2.363

Nd2DyTm7 (GGA-PBE, optimized geometry); E above lowest polymorph = 0.000 eV per atom; theoretical density = 8.73 g/cm³; space group = P-1, No. 2; Fermi-level density of states = 12.91 states/eV per cell
1.0
6.465 -3.888 2.303
-7.464 10.517 -4.506
3.434 -0.349 8.671
Tm Nd Dy
7 2 1
Cartesian
-4.085 8.225 -1.637
-0.210 2.626 2.343
2.870 1.028 1.753
-0.499 3.314 -1.101
-0.435 5.253 4.715
2.645 3.654 4.125
6.520 -1.944 8.105
3.153 0.344 5.240
-0.718 5.937 1.228
0.000 0.000 0.000

Nd3Dy8Tm2 (GGA-PBE, optimized geometry); E above lowest polymorph = 0.000 eV per atom; theoretical density = 8.18 g/cm³; space group = C2/m, No. 12; Fermi-level density of states = 19.77 states/eV per cell
1.0
-1.257 -5.412 -0.304
4.256 -1.275 5.093
-6.133 3.762 9.311
Nd Dy Tm
3 8 2
Cartesian
0.000 0.000 0.000
2.239 -3.588 3.681
-5.373 0.662 10.419
-3.810 -2.573 10.620
-3.852 -2.365 7.090
0.676 -0.353 3.481
0.718 -0.561 7.011
-0.913 -2.949 5.338
-0.898 -0.465 11.954
-2.221 0.023 8.763
-2.237 -2.461 2.147
-0.798 -3.178 8.933
-2.337 0.252 5.168

Nd3Dy4Tm5 (GGA-PBE, optimized geometry); E above lowest polymorph = 0.000 eV per atom; theoretical density = 8.42 g/cm³; space group = P-1, No. 2; Fermi-level density of states = 15.51 states/eV per cell
1.0
6.845 -0.281 1.879
-5.206 7.296 -6.758
4.012 -3.679 11.585
Dy Tm Nd
4 5 3
Cartesian
0.076 1.788 -0.017
5.575 1.548 6.723
4.615 3.381 3.826
1.036 -0.045 2.881
5.429 -1.980 6.732
2.525 3.443 -1.967
2.147 1.699 5.792
3.127 -0.107 8.673
3.504 1.636 0.914
2.006 -1.839 5.793
1.184 3.509 2.878
4.467 -0.173 3.829

NdDyTm (GGA-PBE, optimized geometry); E above lowest polymorph = 0.012 eV per atom; theoretical density = 8.17 g/cm³; space group = I4mm, No. 107; Fermi-level density of states = 4.24 states/eV per cell
1.0
-0.125 0.091 -3.570
-2.971 -1.985 0.053
-2.650 7.241 2.065
Tm Nd Dy
1 1 1
Cartesian
-2.962 1.173 -1.655
-0.006 0.008 0.000
-2.779 4.165 0.203

no.,DFT formation energy (kJ/mol of formula units)
1,32.0
2,21.0
3,63.8
4,23.5
5,24.7
6,155.1
7,130.7
8,688.7
9,168.4
10,108.3
11,299.5
12,56.6
13,21.5
14,142.1
15,162.2
16,201.0
17,319.8
18,21.6
19,110.0
20,24.1
21,7.3